FeAs2O7 | PBE with a Hubbard U | optimized geometry

The structure in POSCAR format:
```
FeAs2O7
1.0
3.4289 -4.1191 0.0000
3.4289 4.1191 0.0000
-1.1222 0.0000 4.6908
Fe As O
1 2 7
direct
0.0000 0.0000 0.0000
0.4419 0.1452 0.5960
0.8548 0.5581 0.4040
0.0613 0.7136 0.7128
0.2643 0.2300 0.8483
0.2864 0.9387 0.2872
0.5499 0.4501 0.5000
0.7017 0.0273 0.7204
0.7700 0.7357 0.1517
0.9727 0.2983 0.2796
```

SG ... C2
N(E_F) ... 0.79 states/eV per atom
DFT total energy ... -5.998 eV/atom
Volume ... 13.25 Å³/atom